12
Lattice="5.127 0.000 0.000 -2.563 4.440 0.000 0.000 0.000 8.261" Properties=species:S:1:pos:R:3 comment="Pa2TlGeO8 | the Alexandria database | PBE-GGA | relaxed" magnetic_moment_mub_per_fu=0.00 vol_a3_per_atom=15.7 raw_formation_energy_ev_per_atom=-2.22 total_energy_ev_per_atom=-7.6932 space_group="No. 164" pbc="T T T"
Pa 0.000 2.960 3.002
Pa 2.563 1.480 5.260
Tl 0.000 0.000 0.000
Ge 0.000 0.000 4.131
O 0.000 1.542 5.182
O -1.228 3.669 5.182
O 0.000 2.960 1.124
O 1.336 0.771 3.079
O 1.228 3.669 5.182
O 2.563 1.480 7.138
O 3.791 0.771 3.079
O 2.563 2.898 3.079

---

7
Lattice="-2.768 2.768 7.413 2.768 -2.768 7.413 2.768 2.768 -7.413" Properties=species:S:1:pos:R:3 comment="Na2PuCl4 | the Alexandria database | PBE-GGA | relaxed" magnetic_moment_mub_per_fu=5.88 vol_a3_per_atom=32.5 raw_formation_energy_ev_per_atom=-1.59 total_energy_ev_per_atom=-5.0732 space_group="No. 139" relative_energy_ev_per_atom=0.154 pbc="T T T"
Na 0.000 0.000 2.042
Na 0.000 0.000 12.785
Pu 0.000 0.000 7.413
Cl 2.768 0.000 0.000
Cl 0.000 0.000 4.653
Cl 0.000 2.768 0.000
Cl 0.000 0.000 10.173

---

5
Lattice="5.236 0.000 0.000 0.000 5.236 0.000 0.000 0.000 4.674" Properties=species:S:1:pos:R:3 comment="KTiMoAs2 | the Alexandria database | PBE-GGA | relaxed" formation_enthalpy_0k_mev_per_atom=2252 magnetic_moment_mub_per_fu=3.41 vol_a3_per_atom=25.6 total_energy_ev_per_atom=-3.5730 space_group="No. 123" pbc="T T T"
K 0.000 0.000 0.000
Ti 2.618 2.618 2.337
Mo 0.000 0.000 2.337
As 0.000 2.618 0.000
As 2.618 0.000 0.000

---

4
Lattice="0.000 2.901 2.901 2.901 0.000 2.901 2.901 2.901 0.000" Properties=species:S:1:pos:R:3 comment="Ta2BF | the Alexandria database | PBE-GGA | relaxed" magnetic_moment_mub_per_fu=0.00 vol_a3_per_atom=12.2 raw_formation_energy_ev_per_atom=-0.38 total_energy_ev_per_atom=-8.4464 space_group="No. 225" relative_energy_ev_per_atom=0.000 pbc="T T T"
Ta 1.451 1.451 1.451
Ta 4.352 4.352 4.352
B 0.000 0.000 0.000
F 2.901 2.901 2.901

---

18
Lattice="7.894 -6.979 0.000 7.894 6.979 0.000 -5.585 0.000 9.707" Properties=species:S:1:pos:R:3 comment="InSn2I6 | the Alexandria database | PBE-GGA | relaxed" magnetic_moment_mub_per_fu=0.00 vol_a3_per_atom=59.4 raw_formation_energy_ev_per_atom=-0.38 total_energy_ev_per_atom=-2.6111 space_group="No. 15" relative_energy_ev_per_atom=0.056 pbc="T T T"
In 3.705 6.029 7.280
In 6.498 -6.029 2.427
Sn 1.083 0.988 7.410
Sn 3.876 -0.988 2.556
Sn 6.328 0.988 7.150
Sn 9.120 -0.988 2.297
I -1.403 1.059 5.983
I 1.310 3.793 7.871
I 1.390 -1.059 1.130
I 6.101 3.793 6.689
I 2.949 0.175 5.185
I 5.741 -0.175 0.332
I 4.462 0.175 9.375
I 7.255 -0.175 4.521
I 4.103 -3.793 3.018
I 8.814 1.059 8.577
I 8.894 -3.793 1.835
I 11.606 -1.059 3.724

---

12
Lattice="3.092 -5.354 0.000 3.092 5.354 0.000 -2.054 0.000 11.536" Properties=species:S:1:pos:R:3 comment="LaTb2Pm3Tm6 | the Alexandria database | PBE-GGA | relaxed" formation_enthalpy_0k_mev_per_atom=20 magnetic_moment_mub_per_fu=0.00 vol_a3_per_atom=31.8 total_energy_ev_per_atom=-4.5859 space_group="No. 12" pbc="T T T"
La 0.000 0.000 0.000
Tb 3.092 1.785 0.000
Tb 3.092 -1.785 0.000
Pm 2.065 3.566 5.768
Pm 2.065 0.000 5.768
Pm 2.065 -3.566 5.768
Tm 1.040 1.790 2.884
Tm 0.009 0.000 8.650
Tm 1.040 -1.790 2.884
Tm 3.091 1.790 8.652
Tm 4.121 0.000 2.886
Tm 3.091 -1.790 8.652